Record 1
{
  "formula": "La2PrDyTl2",
  "functional": "PBE",
  "state": "optimized geometry",
  "lattice_angstrom": [[5.2199, 0.0000, 0.0000], [0.0000, 10.3759, 0.0000], [0.0000, 0.0000, 7.0151]],
  "species": ["La", "La", "La", "La", "Pr", "Pr", "Dy", "Dy", "Tl", "Tl", "Tl", "Tl"],
  "frac_coords": [[0.0000, 0.0608, 0.0000], [0.0000, 0.9392, 0.5000], [0.5000, 0.1754, 0.2320], [0.5000, 0.8246, 0.7320], [0.5000, 0.4551, 0.8768], [0.5000, 0.5449, 0.3768], [0.0000, 0.3050, 0.5887], [0.0000, 0.6950, 0.0887], [0.0000, 0.3843, 0.1426], [0.0000, 0.6157, 0.6426], [0.5000, 0.1467, 0.7116], [0.5000, 0.8533, 0.2116]],
  "formation_energy_ev_per_atom": -0.287,
  "density_g_cm3": 8.653
}


Record 2
{
  "formula": "LaPr2DyTl4",
  "functional": "PBE",
  "state": "optimized geometry",
  "lattice_angstrom": [[2.7653, 1.5966, 9.0693], [-2.7653, 1.5966, 9.0693], [0.0000, -3.1931, 9.0693]],
  "species": ["La", "Pr", "Pr", "Dy", "Tl", "Tl", "Tl", "Tl"],
  "frac_coords": [[0.0000, 0.0000, 0.0000], [0.2490, 0.2490, 0.2490], [0.7510, 0.7510, 0.7510], [0.5000, 0.5000, 0.5000], [0.1269, 0.1269, 0.1269], [0.3772, 0.3772, 0.3772], [0.6228, 0.6228, 0.6228], [0.8731, 0.8731, 0.8731]],
  "formation_energy_ev_per_atom": -0.378,
  "density_g_cm3": 9.682
}


Record 3
{
  "formula": "LaPrDy2Tl4",
  "functional": "PBE",
  "state": "optimized geometry",
  "lattice_angstrom": [[2.7423, 1.5833, 8.9744], [-2.7423, 1.5833, 8.9744], [0.0000, -3.1666, 8.9744]],
  "species": ["La", "Pr", "Dy", "Dy", "Tl", "Tl", "Tl", "Tl"],
  "frac_coords": [[0.0000, 0.0000, 0.0000], [0.5000, 0.5000, 0.5000], [0.2499, 0.2499, 0.2499], [0.7501, 0.7501, 0.7501], [0.1255, 0.1255, 0.1255], [0.3755, 0.3755, 0.3755], [0.6245, 0.6245, 0.6245], [0.8745, 0.8745, 0.8745]],
  "formation_energy_ev_per_atom": -0.371,
  "density_g_cm3": 10.102
}


Record 4
{
  "formula": "LaPrDyTl",
  "functional": "PBE",
  "state": "optimized geometry",
  "lattice_angstrom": [[7.9870, 0.0000, 0.0000], [0.0000, 7.9870, 0.0000], [0.0000, 0.0000, 7.9870]],
  "species": ["La", "La", "La", "La", "Pr", "Pr", "Pr", "Pr", "Dy", "Dy", "Dy", "Dy", "Tl", "Tl", "Tl", "Tl"],
  "frac_coords": [[0.0000, 0.0000, 0.0000], [0.0000, 0.5000, 0.5000], [0.5000, 0.0000, 0.5000], [0.5000, 0.5000, 0.0000], [0.0000, 0.0000, 0.5000], [0.0000, 0.5000, 0.0000], [0.5000, 0.0000, 0.0000], [0.5000, 0.5000, 0.5000], [0.2500, 0.2500, 0.7500], [0.2500, 0.7500, 0.2500], [0.7500, 0.2500, 0.2500], [0.7500, 0.7500, 0.7500], [0.2500, 0.2500, 0.2500], [0.2500, 0.7500, 0.7500], [0.7500, 0.2500, 0.7500], [0.7500, 0.7500, 0.2500]],
  "formation_energy_ev_per_atom": -0.085,
  "density_g_cm3": 8.431,
  "relative_energy_ev_per_atom": 0.0000
}


Which formula does entry 1 have?
La2PrDyTl2